Entry 1:
Compound: CsLiSe2
Source: Alexandria via LeMat-Bulk
Functional: GGA-PBEsol
Structure: relaxed

Lattice parameters (Å, degrees): 5.4149 5.4149 16.7645 90.00 90.00 90.00
Space group I4_1/amd (No. 141, origin choice 2)
Symmetry-distinct sites (fractional):
Cs 0.0000 0.2500 0.3750
Li 0.0000 0.2500 0.8750
Se 0.0000 0.0000 0.0000

Results
The magnetization is 0.000 μB/f.u. The density of states at the Fermi level is 1.80 states/eV/f.u. The theoretical density comes out at 4.024 g/cm³. The calculation puts the total DFT energy (no corrections) at -3.566 eV per atom. The value obtained for the raw formation energy is -0.914 eV/atom.



Entry 2:
Compound: CrCuPb2
Source: Alexandria via LeMat-Bulk
Functional: GGA-PBEsol
Structure: relaxed

Lattice parameters (Å, degrees): 4.6825 5.0711 6.9067 90.00 90.00 90.00
Space group Cmmm (No. 65)
Symmetry-distinct sites (fractional):
Cr 0.0000 0.0000 0.0000
Cu 0.0000 0.0000 0.5000
Pb 0.0000 0.5000 0.2595

Results
The magnetization is 4.075 μB/f.u. The density of states at the Fermi level is 2.14 states/eV/f.u. The theoretical density comes out at 10.731 g/cm³. The calculation puts the total DFT energy (no corrections) at -5.094 eV per atom. The formation enthalpy at 0 K is 0.549 eV/atom.